# RhWAu3 (PBE, optimized geometry)
data_RhWAu3
_chemical_formula_sum 'Rh1 W1 Au3'
_cell_length_a 4.9751
_cell_length_b 4.9751
_cell_length_c 4.9751
_cell_angle_alpha 90.00
_cell_angle_beta 90.00
_cell_angle_gamma 90.00
_space_group_name_H-M_alt 'P m -3 m'
_space_group_IT_number 221
_space_group_name_Hall '-P 4 2 3'
loop_
_atom_site_label
_atom_site_fract_x
_atom_site_fract_y
_atom_site_fract_z
_atom_site_occupancy
Rh1 0.0000 0.0000 0.0000 1
W1 0.5000 0.5000 0.5000 1
Au1 0.0000 0.5000 0.5000 1
# Energy relative to the elements (meV per atom): 1681
# DOS(E_F) (states/eV/f.u.): 9.16
# E above lowest polymorph (meV/atom): 0.0
# Calculated density (Mg/m³): 11.835
# Crystal system: cubic

=====

# Ac2PtI2 (PBE, optimized geometry)
data_Ac2PtI2
_chemical_formula_sum 'Ac6 Pt3 I6'
_cell_length_a 4.4868
_cell_length_b 4.4868
_cell_length_c 36.3615
_cell_angle_alpha 90.00
_cell_angle_beta 90.00
_cell_angle_gamma 120.00
_space_group_name_H-M_alt 'R -3 m'
_space_group_IT_number 166
_space_group_name_Hall '-R 3 2"'
loop_
_atom_site_label
_atom_site_fract_x
_atom_site_fract_y
_atom_site_fract_z
_atom_site_occupancy
Ac1 0.0000 0.0000 0.1199 1
Pt1 0.0000 0.0000 0.5000 1
I1 0.0000 0.0000 0.3897 1
# Energy relative to the elements, uncorrected (kJ/mol of formula units): -635
# DOS(E_F) (states/eV/f.u.): 1.98
# Calculated density (Mg/m³): 7.095
# Crystal system: trigonal